# TbZn6Cu2 | Alexandria | PBE-GGA | relaxed
# Calculated total energy ... -2.33 eV/atom
# Volume ... 17.03 A^3/atom
data_TbZn6Cu2
_chemical_formula_sum 'Tb2 Zn12 Cu4'
_space_group_name_H-M_alt 'I m m m'
_space_group_IT_number 71
_space_group_name_Hall '-I 2 2'
_cell_length_a 3.926
_cell_length_b 6.563
_cell_length_c 11.894
_cell_angle_alpha 90.00
_cell_angle_beta 90.00
_cell_angle_gamma 90.00
loop_
_atom_site_label
_atom_site_type_symbol
_atom_site_fract_x
_atom_site_fract_y
_atom_site_fract_z
Tb1 Tb 0.000 0.000 0.000
Zn1 Zn 0.000 0.178 0.500
Zn2 Zn 0.000 0.302 0.308
Cu1 Cu 0.000 0.500 0.116

=====

# HoCu4Ni8 | Alexandria | PBE-GGA | relaxed
# Calculated total energy ... -5.24 eV/atom
# Volume ... 12.43 A^3/atom
data_HoCu4Ni8
_chemical_formula_sum 'Ho2 Cu8 Ni16'
_space_group_name_H-M_alt 'I 4/m m m'
_space_group_IT_number 139
_space_group_name_Hall '-I 4 2'
_cell_length_a 8.286
_cell_length_b 8.286
_cell_length_c 4.706
_cell_angle_alpha 90.00
_cell_angle_beta 90.00
_cell_angle_gamma 90.00
loop_
_atom_site_label
_atom_site_type_symbol
_atom_site_fract_x
_atom_site_fract_y
_atom_site_fract_z
Ho1 Ho 0.000 0.000 0.000
Cu1 Cu 0.250 0.250 0.250
Ni1 Ni 0.000 0.221 0.500
Ni2 Ni 0.000 0.357 0.000

=====

# Ac3MgSn5 | Alexandria | PBE-GGA | relaxed
# Calculated total energy ... -4.28 eV/atom
# Volume ... 31.32 A^3/atom
data_Ac3MgSn5
_chemical_formula_sum 'Ac6 Mg2 Sn10'
_space_group_name_H-M_alt 'P 63/m c m'
_space_group_IT_number 193
_space_group_name_Hall '-P 6c 2'
_cell_length_a 9.8702
_cell_length_b 9.8702
_cell_length_c 6.6829
_cell_angle_alpha 90.00
_cell_angle_beta 90.00
_cell_angle_gamma 120.00
loop_
_atom_site_label
_atom_site_type_symbol
_atom_site_fract_x
_atom_site_fract_y
_atom_site_fract_z
Ac1 Ac 0.0000 0.3771 0.2500
Mg1 Mg 0.0000 0.0000 0.0000
Sn1 Sn 0.0000 0.2768 0.7500
Sn2 Sn 0.3333 0.6667 0.0000

=====

# PrSbPt4 | Alexandria | PBE-GGA | relaxed
# Calculated total energy ... -6.08 eV/atom
# E_form (uncorrected) ... -0.567 eV/atom
# Volume ... 19.85 A^3/atom
# Excess energy over the best structure of this formula in the dataset ... 88 meV per atom
data_PrSbPt4
_chemical_formula_sum 'Pr2 Sb2 Pt8'
_space_group_name_H-M_alt 'P m m a'
_space_group_IT_number 51
_cell_length_a 7.921
_cell_length_b 4.126
_cell_length_c 7.288
_cell_angle_alpha 90.00
_cell_angle_beta 90.00
_cell_angle_gamma 90.00
loop_
_space_group_symop_operation_xyz
'x,y,z'
'-x,-y,-z'
'-x+1/2,-y,z'
'x+1/2,y,-z'
'x+1/2,-y,-z'
'-x+1/2,y,z'
'-x,y,-z'
'x,-y,z'
loop_
_atom_site_label
_atom_site_type_symbol
_atom_site_fract_x
_atom_site_fract_y
_atom_site_fract_z
Pr1 Pr 0.250 0.000 0.152
Sb1 Sb 0.250 0.000 0.733
Pt1 Pt 0.000 0.000 0.500
Pt2 Pt 0.031 0.500 0.810
Pt3 Pt 0.250 0.500 0.459

=====

# EuZnS2 | Alexandria | PBE-GGA | relaxed
# Calculated total energy ... -6.19 eV/atom
# E_form (uncorrected) ... -1.234 eV/atom
# Volume ... 31.02 A^3/atom
data_EuZnS2
_chemical_formula_sum 'Eu3 Zn3 S6'
_space_group_name_H-M_alt 'R -3 m'
_space_group_IT_number 166
_space_group_name_Hall '-R 3 2"'
_cell_length_a 4.4843
_cell_length_b 4.4843
_cell_length_c 21.3781
_cell_angle_alpha 90.00
_cell_angle_beta 90.00
_cell_angle_gamma 120.00
loop_
_atom_site_label
_atom_site_type_symbol
_atom_site_fract_x
_atom_site_fract_y
_atom_site_fract_z
Eu1 Eu 0.0000 0.0000 0.0000
Zn1 Zn 0.0000 0.0000 0.5000
S1 S 0.0000 0.0000 0.4000

=====

# Mg3AgF | Alexandria | PBE-GGA | relaxed
# Calculated total energy ... -2.72 eV/atom
# E_form (uncorrected) ... -0.821 eV/atom
# Volume ... 17.55 A^3/atom
# Excess energy over the best structure of this formula in the dataset ... 0 meV per atom
data_Mg3AgF
_chemical_formula_sum 'Mg3 Ag1 F1'
_space_group_name_H-M_alt 'P m -3 m'
_space_group_IT_number 221
_space_group_name_Hall '-P 4 2 3'
_cell_length_a 4.444
_cell_length_b 4.444
_cell_length_c 4.444
_cell_angle_alpha 90.00
_cell_angle_beta 90.00
_cell_angle_gamma 90.00
loop_
_atom_site_label
_atom_site_type_symbol
_atom_site_fract_x
_atom_site_fract_y
_atom_site_fract_z
Mg1 Mg 0.000 0.000 0.500
Ag1 Ag 0.500 0.500 0.500
F1 F 0.000 0.000 0.000

=====

# BiPdPt | Alexandria | PBE-GGA | relaxed
# Calculated total energy ... -5.21 eV/atom
# Volume ... 19.23 A^3/atom
# Excess energy over the best structure of this formula in the dataset ... 37 meV per atom
data_BiPdPt
_chemical_formula_sum 'Bi4 Pd4 Pt4'
_space_group_name_H-M_alt 'C 1 c 1'
_space_group_IT_number 9
_cell_length_a 5.244
_cell_length_b 8.699
_cell_length_c 5.645
_cell_angle_alpha 90.00
_cell_angle_beta 116.34
_cell_angle_gamma 90.00
loop_
_space_group_symop_operation_xyz
'x,y,z'
'x,-y,z+1/2'
'x+1/2,y+1/2,z'
'x+1/2,-y+1/2,z+1/2'
loop_
_atom_site_label
_atom_site_type_symbol
_atom_site_fract_x
_atom_site_fract_y
_atom_site_fract_z
Bi1 Bi 0.000 0.129 0.000
Pd1 Pd 0.432 0.292 0.942
Pt1 Pt 0.496 0.035 0.572

=====

# RbY2ZrCl | Alexandria | PBE-GGA | relaxed
# Calculated total energy ... -3.30 eV/atom
# E_form (uncorrected) ... 1.562 eV/atom
# Volume ... 33.96 A^3/atom
data_RbY2ZrCl
_chemical_formula_sum 'Rb1 Y2 Zr1 Cl1'
_space_group_name_H-M_alt 'P 4/m m m'
_space_group_IT_number 123
_space_group_name_Hall '-P 4 2'
_cell_length_a 5.815
_cell_length_b 5.815
_cell_length_c 5.022
_cell_angle_alpha 90.00
_cell_angle_beta 90.00
_cell_angle_gamma 90.00
loop_
_atom_site_label
_atom_site_type_symbol
_atom_site_fract_x
_atom_site_fract_y
_atom_site_fract_z
Rb1 Rb 0.000 0.000 0.000
Y1 Y 0.000 0.500 0.000
Zr1 Zr 0.000 0.000 0.500
Cl1 Cl 0.500 0.500 0.500

=====

# La3Pd | Alexandria | PBE-GGA | relaxed
# Calculated total energy ... -5.20 eV/atom
# Volume ... 33.67 A^3/atom
data_La3Pd
_chemical_formula_sum 'La3 Pd1'
_space_group_name_H-M_alt 'P m m 2'
_space_group_IT_number 25
_cell_length_a 3.735
_cell_length_b 3.814
_cell_length_c 9.454
_cell_angle_alpha 90.00
_cell_angle_beta 90.00
_cell_angle_gamma 90.00
loop_
_space_group_symop_operation_xyz
'x,y,z'
'-x,-y,z'
'-x,y,z'
'x,-y,z'
loop_
_atom_site_label
_atom_site_type_symbol
_atom_site_fract_x
_atom_site_fract_y
_atom_site_fract_z
La1 La 0.000 0.000 0.000
La2 La 0.000 0.500 0.330
La3 La 0.500 0.500 0.718
Pd1 Pd 0.500 0.000 0.475

=====

- Among the records above, which one has the highest calculated total energy?
  TbZn6Cu2